CrN2: relaxed, GGA-PBEsol.

Structure (POSCAR):
```
CrN2
1.0
2.683 0.000 0.000
-1.341 2.324 0.000
0.000 0.000 3.684
Cr N
1 2
Direct
0.000 0.000 0.500
0.333 0.667 0.817
0.333 0.667 0.183
```

Calculated values
space-group type: P-6m2, No. 187

***

Cs2RbAlI6: relaxed, GGA-PBEsol.

Structure (POSCAR):
```
Cs2RbAlI6
1.0
-1.985 -8.635 -0.578
4.064 -5.854 5.297
-4.523 -3.963 6.533
Al Cs I Rb
1 2 6 1
Direct
0.000 0.000 0.000
0.250 0.250 0.250
0.750 0.750 0.750
0.222 0.222 0.778
0.778 0.222 0.778
0.222 0.778 0.778
0.778 0.222 0.222
0.778 0.778 0.222
0.222 0.778 0.222
0.500 0.500 0.500
```

Calculated values
density of states at the Fermi level: 0.00 states/eV/atom
space-group type: Fm-3m, No. 225

***

Energy relative to the elements, uncorrected
In order: -576; -1123
Unit: meV/atom